Compound: Ge2PbCl8
Source: Alexandria via LeMat-Bulk
Functional: PBE
Structure: optimized geometry

Calculated values
Its symmetry is No. 12. The magnetic moment is 0.00 μB/atom. The uncorrected formation energy comes out at -786.1 meV per atom.

Cell: 7.316 7.999 7.999 Å, 64.82 84.53 84.53°
Positions (direct):
Cl 0.274 0.359 0.359
Cl 0.183 0.931 0.343
Cl 0.183 0.343 0.931
Ge 0.345 0.195 0.195
Cl 0.817 0.069 0.657
Cl 0.817 0.657 0.069
Ge 0.655 0.805 0.805
Cl 0.664 0.119 0.119
Cl 0.336 0.881 0.881
Cl 0.726 0.641 0.641
Pb 0.000 0.000 0.000